A geometry-optimized Ba2SrLiH structure, computed with PBE.

## Properties
The energy above the most stable polymorph in this dataset is 55 meV/atom. Its crystal system is tetragonal. The symmetry is P4/mmm (123).

a b c (Å): 5.7509 5.7509 5.9151
angles (deg): 90.00 90.00 90.00
Last column: nearest neighbours and their distance in Å.
Element x y z (fractional)
Li (0.0000, 0.0000, 0.5000)  2 H 2.96
Sr (0.5000, 0.5000, 0.5000)  4 Li 4.07, 8 Ba 4.12
Ba (0.0000, 0.5000, 0.0000)  2 H 2.88
Ba (0.5000, 0.0000, 0.0000)  2 H 2.88
H (0.0000, 0.0000, 0.0000)  4 Ba 2.88, 2 Li 2.96

A geometry-optimized Ba2LiTcH6 structure, computed with PBE.

## Properties
Its crystal system is trigonal. The symmetry is P-3m1 (164).

a b c (Å): 4.9302 5.6136 5.6136
angles (deg): 120.00 90.00 90.00
Last column: nearest neighbours and their distance in Å.
Element x y z (fractional)
H (0.2185, 0.8486, 0.1514)  1 Tc 1.82, 1 Li 2.02
H (0.7815, 0.1514, 0.3028)  1 Tc 1.82, 1 Li 2.02
H (0.2185, 0.3028, 0.1514)  1 Tc 1.82, 1 Li 2.02
H (0.7815, 0.1514, 0.8486)  1 Tc 1.82, 1 Li 2.02
H (0.2185, 0.8486, 0.6972)  1 Tc 1.82, 1 Li 2.02
H (0.7815, 0.6972, 0.8486)  1 Tc 1.82, 1 Li 2.02
Ba (0.7524, 0.6667, 0.3333)  9 H 2.81-2.90
Ba (0.2476, 0.3333, 0.6667)  9 H 2.81-2.90
Tc (0.0000, 0.0000, 0.0000)  6 H 1.82
Li (0.5000, 0.0000, 0.0000)  6 H 2.02

A geometry-optimized BaLiTcH2 structure, computed with PBE.

## Properties
Its crystal system is tetragonal. The symmetry is P4/mmm (123).

a b c (Å): 4.7726 6.8867 4.7726
angles (deg): 90.00 90.00 90.00
Last column: nearest neighbours and their distance in Å.
Element x y z (fractional)
H (0.0000, 0.0000, 0.5000)  2 Ba 2.39
H (0.5000, 0.0000, 0.0000)  2 Ba 2.39
Ba (0.0000, 0.0000, 0.0000)  4 H 2.39
Tc (0.0000, 0.5000, 0.0000)  4 Li 3.37, 2 Ba 3.44
Li (0.5000, 0.5000, 0.5000)  4 Tc 3.37

A geometry-optimized Ba2Li3TmH12 structure, computed with PBE.

## Properties
Its crystal system is trigonal. The symmetry is R-3m (166).

a b c (Å): 6.5376 6.5376 6.5376
angles (deg): 61.22 61.22 61.22
Last column: nearest neighbours and their distance in Å.
Element x y z (fractional)
Li (0.0000, 0.0000, 0.5000)  6 H 1.89-1.91
Li (0.5000, 0.0000, 0.0000)  6 H 1.89-1.91
Li (0.0000, 0.5000, 0.0000)  6 H 1.89-1.91
H (0.1294, 0.6015, 0.1294)  1 Li 1.91
H (0.1362, 0.7521, 0.7521)  2 Li 1.89
H (0.2479, 0.8638, 0.2479)  2 Li 1.89
H (0.3985, 0.8706, 0.8706)  1 Li 1.91
H (0.8706, 0.3985, 0.8706)  1 Li 1.91
H (0.1294, 0.1294, 0.6015)  1 Li 1.91
H (0.7521, 0.7521, 0.1362)  2 Li 1.89
H (0.7521, 0.1362, 0.7521)  2 Li 1.89
H (0.8638, 0.2479, 0.2479)  2 Li 1.89
H (0.2479, 0.2479, 0.8638)  2 Li 1.89
H (0.8706, 0.8706, 0.3985)  1 Li 1.91
H (0.6015, 0.1294, 0.1294)  1 Li 1.91
Ba (0.3940, 0.3940, 0.3940)  6 H 2.49-2.55
Ba (0.6060, 0.6060, 0.6060)  6 H 2.49-2.55
Tm (0.0000, 0.0000, 0.0000)  12 H 2.16-2.41

A geometry-optimized Ba2Li3UH12 structure, computed with PBE.

## Properties
Its crystal system is trigonal. The symmetry is R-3m (166).

a b c (Å): 6.5335 6.5335 6.5335
angles (deg): 61.70 61.70 61.70
Last column: nearest neighbours and their distance in Å.
Element x y z (fractional)
H (0.7677, 0.7677, 0.1243)  2 Li 1.92, 2 H 2.12
H (0.7677, 0.1243, 0.7677)  2 Li 1.92, 2 H 2.12
H (0.2323, 0.2323, 0.8757)  2 Li 1.92, 2 H 2.12
H (0.2323, 0.8757, 0.2323)  2 Li 1.92, 2 H 2.12
H (0.1326, 0.1326, 0.6044)  1 Li 1.95, 2 H 2.12, 1 U 2.16
H (0.8757, 0.2323, 0.2323)  2 Li 1.92, 2 H 2.12
H (0.8674, 0.8674, 0.3956)  1 Li 1.95, 2 H 2.12, 1 U 2.16
H (0.1326, 0.6044, 0.1326)  1 Li 1.95, 2 H 2.12, 1 U 2.16
H (0.3956, 0.8674, 0.8674)  1 Li 1.95, 2 H 2.12, 1 U 2.16
H (0.8674, 0.3956, 0.8674)  1 Li 1.95, 2 H 2.12, 1 U 2.16
H (0.6044, 0.1326, 0.1326)  1 Li 1.95, 2 H 2.12, 1 U 2.16
H (0.1243, 0.7677, 0.7677)  2 Li 1.92, 2 H 2.12
Li (0.5000, 0.0000, 0.0000)  6 H 1.92-1.95
Li (0.0000, 0.5000, 0.0000)  6 H 1.92-1.95
Li (0.0000, 0.0000, 0.5000)  6 H 1.92-1.95
Ba (0.6081, 0.6081, 0.6081)  6 H 2.43-2.64
Ba (0.3919, 0.3919, 0.3919)  6 H 2.43-2.64
U (0.0000, 0.0000, 0.0000)  12 H 2.16-2.26

A geometry-optimized Ba2LiVH6 structure, computed with PBE.

## Properties
Its crystal system is trigonal. The symmetry is P-3m1 (164).

a b c (Å): 5.0169 5.6046 5.6046
angles (deg): 120.00 90.00 90.00
Last column: nearest neighbours and their distance in Å.
Element x y z (fractional)
Ba (0.7537, 0.6667, 0.3333)  9 H 2.81-2.96
Ba (0.2463, 0.3333, 0.6667)  9 H 2.81-2.96
H (0.2279, 0.3055, 0.1527)  1 V 1.87, 1 Li 2.02
H (0.7721, 0.1527, 0.8473)  1 V 1.87, 1 Li 2.02
H (0.2279, 0.8473, 0.6945)  1 V 1.87, 1 Li 2.02
H (0.7721, 0.1527, 0.3055)  1 V 1.87, 1 Li 2.02
H (0.7721, 0.6945, 0.8473)  1 V 1.87, 1 Li 2.02
H (0.2279, 0.8473, 0.1527)  1 V 1.87, 1 Li 2.02
V (0.0000, 0.0000, 0.0000)  6 H 1.87
Li (0.5000, 0.0000, 0.0000)  6 H 2.02

A geometry-optimized Ba2LiYH structure, computed with PBE.

## Properties
Its crystal system is tetragonal. The symmetry is P4/mmm (123).

a b c (Å): 6.2258 6.2258 4.4391
angles (deg): 90.00 90.00 90.00
Last column: nearest neighbours and their distance in Å.
Element x y z (fractional)
H (0.0000, 0.0000, 0.0000)  2 Y 2.22
Y (0.0000, 0.0000, 0.5000)  2 H 2.22
Li (0.5000, 0.5000, 0.5000)  8 Ba 3.82
Ba (0.0000, 0.5000, 0.0000)  2 H 3.11
Ba (0.5000, 0.0000, 0.0000)  2 H 3.11

A geometry-optimized BaLiY2H structure, computed with PBE.

## Properties
Its crystal system is tetragonal. The symmetry is P4/mmm (123).

a b c (Å): 4.9248 5.8039 4.9248
angles (deg): 90.00 90.00 90.00
Last column: nearest neighbours and their distance in Å.
Element x y z (fractional)
Ba (0.0000, 0.5000, 0.0000)  2 H 2.90
Y (0.0000, 0.0000, 0.5000)  2 H 2.46
Y (0.5000, 0.0000, 0.0000)  2 H 2.46
Li (0.5000, 0.5000, 0.5000)  4 Ba 3.48, 8 Y 3.81
H (0.0000, 0.0000, 0.0000)  4 Y 2.46

Total DFT energy (no corrections), respectively: -2.185, -4.077, -3.051, -3.213, -3.701, -3.858, -3.103, -3.953 eV per atom.